[1]
The following is a DFT calculation (PBE-GGA) of a relaxed structure of TmBe4B4.

Cell and atoms, written as POSCAR:
```
TmBe4B4
1.0
4.848 0.000 0.000
0.000 4.848 0.000
0.000 0.000 6.746
Tm Be B
2 8 8
Cartesian
1.212 3.636 1.686
3.636 1.212 5.059
0.099 3.636 4.193
1.212 2.523 5.925
1.212 4.749 5.925
2.325 3.636 4.193
2.523 1.212 2.553
3.636 0.099 0.820
3.636 2.325 0.820
4.749 1.212 2.553
0.399 1.212 0.527
1.212 0.399 3.900
1.212 2.025 3.900
2.025 1.212 0.527
2.823 3.636 6.219
3.636 2.823 2.846
3.636 4.449 2.846
4.449 3.636 6.219
```

Values from the calculation:
VASP energy, eV per cell: -94.90
Crystal system: tetragonal
Density, g/cm³: 5.20
Calculated formation energy, meV per atom: -152
Total moment, μB/atom: 0.000
SG: P4_2/nmc, No. 137

---

[2]
The following is a DFT calculation (PBE-GGA) of a relaxed structure of BeBrF2.

Cell and atoms, written as POSCAR:
```
BeBrF2
1.0
2.781 0.000 0.000
-1.391 2.409 0.000
0.000 0.000 27.451
Be Br F
3 3 6
Cartesian
0.000 0.000 0.000
0.000 1.606 18.300
1.391 0.803 9.150
0.000 0.000 13.725
0.000 1.606 4.575
1.391 0.803 22.876
0.000 0.000 10.017
0.000 0.000 17.433
0.000 1.606 0.867
0.000 1.606 8.283
1.391 0.803 19.168
1.391 0.803 26.584
```

Values from the calculation:
VASP energy, eV per cell: -51.38
E above lowest polymorph, meV per atom: 83
Crystal system: trigonal
Density, g/cm³: 3.44
Total moment, μB/atom: 0.000
SG: R-3m, No. 166

---

[3]
The following is a DFT calculation (PBE-GGA) of a relaxed structure of Na3ReO6.

Cell and atoms, written as POSCAR:
```
Na3ReO6
1.0
4.153 -7.323 0.000
4.153 7.323 0.000
0.000 0.000 6.046
Na Re O
6 2 12
Cartesian
4.153 6.132 3.023
2.300 1.306 3.040
2.300 -1.306 0.017
6.007 1.306 3.040
6.007 -1.306 0.017
4.153 -6.132 0.000
4.153 2.782 0.027
4.153 -2.782 3.050
2.725 3.793 0.046
1.200 0.011 1.519
1.200 -0.011 4.542
4.153 1.805 4.610
4.153 1.757 1.457
5.582 3.793 0.046
2.725 -3.793 3.069
4.153 -1.757 4.480
4.153 -1.805 1.587
7.107 0.011 1.519
7.107 -0.011 4.542
5.582 -3.793 3.069
```

Values from the calculation:
VASP energy, eV per cell: -118.83
E above lowest polymorph, meV per atom: 31
Crystal system: orthorhombic
Density, g/cm³: 3.17
Total moment, μB/atom: 0.200
SG: Cmc2_1, No. 36

---

[4]
The following is a DFT calculation (PBE-GGA) of a relaxed structure of HoThScMo.

Cell and atoms, written as POSCAR:
```
HoThScMo
1.0
7.288 0.000 0.000
0.000 7.288 0.000
0.000 0.000 7.288
Ho Th Sc Mo
4 4 4 4
Cartesian
0.000 0.000 0.000
0.000 3.644 3.644
3.644 0.000 3.644
3.644 3.644 0.000
0.000 0.000 3.644
0.000 3.644 0.000
3.644 0.000 0.000
3.644 3.644 3.644
1.822 1.822 5.466
1.822 5.466 1.822
5.466 1.822 1.822
5.466 5.466 5.466
1.822 1.822 1.822
1.822 5.466 5.466
5.466 1.822 5.466
5.466 5.466 1.822
```

Values from the calculation:
VASP energy, eV per cell: -113.27
Crystal system: cubic
Density, g/cm³: 9.23
Calculated formation energy, meV per atom: 210
Total moment, μB/atom: 0.000
SG: F-43m, No. 216

---

[5]
The following is a DFT calculation (PBE-GGA) of a relaxed structure of DyNbFe10.

Cell and atoms, written as POSCAR:
```
DyNbFe10
1.0
3.972 0.000 0.000
0.000 4.847 0.000
0.000 0.000 8.367
Dy Nb Fe
1 1 10
Cartesian
0.000 0.000 0.000
0.000 2.424 4.183
0.000 0.000 2.871
0.000 0.000 5.496
0.000 2.424 1.508
0.000 2.424 6.859
1.986 0.000 4.183
1.986 1.225 2.157
1.986 1.225 6.210
1.986 2.424 0.000
1.986 3.622 2.157
1.986 3.622 6.210
```

Values from the calculation:
VASP energy, eV per cell: -98.97
Crystal system: orthorhombic
Density, g/cm³: 8.39
Calculated formation energy, meV per atom: 27
Total moment, μB/atom: 1.475
SG: Pmmm, No. 47

---

[6]
The following is a DFT calculation (PBE-GGA) of a relaxed structure of TbPm4SmDy2.

Cell and atoms, written as POSCAR:
```
TbPm4SmDy2
1.0
6.248 0.000 0.000
0.000 3.617 0.000
-2.118 0.000 11.755
Tb Pm Sm Dy
1 4 1 2
Cartesian
0.000 0.000 0.000
1.031 1.808 2.933
-0.022 0.000 8.833
4.152 0.000 2.922
3.099 1.808 8.822
-1.059 1.808 5.878
2.065 0.000 5.878
3.124 1.808 0.000
```

Values from the calculation:
VASP energy, eV per cell: -37.43
Crystal system: monoclinic
Density, g/cm³: 7.59
Calculated formation energy, meV per atom: 15
Total moment, μB/atom: 0.000
SG: P2/m, No. 10

---

[7]
The following is a DFT calculation (PBE-GGA) of a relaxed structure of LiBeSe2.

Cell and atoms, written as POSCAR:
```
LiBeSe2
1.0
6.553 0.000 0.000
0.000 6.553 0.000
0.000 0.000 6.553
Li Be Se
4 4 8
Cartesian
0.000 0.000 0.000
0.000 3.277 3.277
3.277 0.000 3.277
3.277 3.277 0.000
1.638 1.638 4.915
1.638 4.915 1.638
4.915 1.638 1.638
4.915 4.915 4.915
0.000 0.000 3.277
0.000 3.277 0.000
1.638 1.638 1.638
1.638 4.915 4.915
3.277 0.000 0.000
3.277 3.277 3.277
4.915 1.638 4.915
4.915 4.915 1.638
```

Values from the calculation:
VASP energy, eV per cell: -45.08
Crystal system: cubic
Density, g/cm³: 4.10
Total moment, μB/atom: 0.000
SG: F-43m, No. 216

---

[8]
The following is a DFT calculation (PBE-GGA) of a relaxed structure of Th4Te2PAu.

Cell and atoms, written as POSCAR:
```
Th4Te2PAu
1.0
7.518 0.000 0.000
0.000 4.244 0.000
-2.442 0.000 7.387
Th Te P Au
4 2 1 1
Cartesian
1.169 0.000 1.584
-0.011 2.122 5.775
5.088 2.122 1.612
3.908 0.000 5.803
-1.221 0.000 3.693
2.538 2.122 3.693
0.000 2.122 0.000
3.759 0.000 0.000
```

Values from the calculation:
VASP energy, eV per cell: -53.32
Crystal system: monoclinic
Density, g/cm³: 9.94
Total moment, μB/atom: 0.000
SG: P2/m, No. 10

---

[9]
The following is a DFT calculation (PBE-GGA) of a relaxed structure of KSi2Hg.

Cell and atoms, written as POSCAR:
```
KSi2Hg
1.0
10.171 0.000 0.000
0.000 3.778 0.000
-2.169 0.000 5.889
K Si Hg
2 4 2
Cartesian
0.000 0.000 0.000
5.086 1.889 0.000
0.986 0.000 3.501
1.931 1.889 2.388
6.071 1.889 3.501
7.017 0.000 2.388
-1.085 1.889 2.945
4.001 0.000 2.945
```

Values from the calculation:
VASP energy, eV per cell: -22.66
Crystal system: monoclinic
Density, g/cm³: 4.34
Total moment, μB/atom: 0.000
SG: C2/m, No. 12

---

[10]
The following is a DFT calculation (PBE-GGA) of a relaxed structure of AcNd5Er2Tm.

Cell and atoms, written as POSCAR:
```
AcNd5Er2Tm
1.0
2.908 -8.764 0.000
2.908 8.764 0.000
0.000 0.000 12.219
Ac Nd Er Tm
2 10 4 2
Cartesian
2.908 6.724 6.109
2.908 -6.724 0.000
2.908 7.414 10.318
2.908 7.365 2.017
2.908 4.066 3.621
2.908 4.062 8.636
2.908 1.067 1.810
2.908 -1.067 7.920
2.908 -4.062 2.527
2.908 -4.066 9.730
2.908 -7.365 8.126
2.908 -7.414 4.208
2.908 1.984 6.122
2.908 1.092 10.443
2.908 -1.092 4.333
2.908 -1.984 0.013
2.908 4.430 0.010
2.908 -4.430 6.120
```

Values from the calculation:
VASP energy, eV per cell: -81.61
Crystal system: orthorhombic
Density, g/cm³: 7.74
Calculated formation energy, meV per atom: 82
Total moment, μB/atom: 0.000
SG: Cmc2_1, No. 36

---

[11]
The following is a DFT calculation (PBE-GGA) of a relaxed structure of LiEr2Be.

Cell and atoms, written as POSCAR:
```
LiEr2Be
1.0
3.438 0.000 0.000
0.000 3.438 0.000
0.000 0.000 7.446
Li Er Be
1 2 1
Cartesian
0.000 0.000 0.000
1.719 1.719 2.139
1.719 1.719 5.307
0.000 0.000 3.723
```

Values from the calculation:
VASP energy, eV per cell: -14.42
E above lowest polymorph, meV per atom: 0
Crystal system: tetragonal
Density, g/cm³: 6.61
Calculated formation energy, meV per atom: 87
Total moment, μB/atom: 0.000
SG: P4/mmm, No. 123

---

[12]
The following is a DFT calculation (PBE-GGA) of a relaxed structure of MnTl2Hg.

Cell and atoms, written as POSCAR:
```
MnTl2Hg
1.0
4.103 0.000 0.000
0.000 4.785 0.000
0.000 0.000 5.019
Mn Tl Hg
1 2 1
Cartesian
0.000 0.000 0.000
0.000 2.393 2.510
2.052 2.393 0.000
2.052 0.000 2.510
```

Values from the calculation:
VASP energy, eV per cell: -12.76
E above lowest polymorph, meV per atom: 99
Crystal system: orthorhombic
Density, g/cm³: 11.19
Calculated formation energy, meV per atom: 362
Total moment, μB/atom: 1.036
SG: Pmmm, No. 47